MnNbVNi | PBE | optimized geometry

VASP energy ... -8.563 eV/atom
V ... 53.8 Å³/f.u.
Symmetry ... F-43m, No. 216
Magnetization ... 0.52 Bohr magnetons per cell

Lattice parameters (Å, degrees): 4.2373 4.2373 4.2373 60.00 60.00 60.00
Sites, in units of the cell vectors:
Ni  0.0000  0.0000  0.0000
Nb  0.2500  0.2500  0.2500
Mn  0.5000  0.5000  0.5000
V  0.7500  0.7500  0.7500

---

MnNbZnNi | PBE | optimized geometry

VASP energy ... -6.587 eV/atom
V ... 53.6 Å³/f.u.
Symmetry ... F-43m, No. 216
Magnetization ... 0.01 Bohr magnetons per cell

Lattice parameters (Å, degrees): 4.2332 4.2332 4.2332 60.00 60.00 60.00
Sites, in units of the cell vectors:
Ni  0.2500  0.2500  0.2500
Nb  0.0000  0.0000  0.0000
Mn  0.7500  0.7500  0.7500
Zn  0.5000  0.5000  0.5000

---

ZrMnNbNi | PBE | optimized geometry

VASP energy ... -8.503 eV/atom
V ... 61.8 Å³/f.u.
Symmetry ... F-43m, No. 216
Magnetization ... 0.00 Bohr magnetons per cell

Lattice parameters (Å, degrees): 4.4374 4.4374 4.4374 60.00 60.00 60.00
Sites, in units of the cell vectors:
Ni  0.2500  0.2500  0.2500
Nb  0.5000  0.5000  0.5000
Mn  0.7500  0.7500  0.7500
Zr  0.0000  0.0000  0.0000

---

NpMnNb2 | PBE | optimized geometry

VASP energy ... -10.222 eV/atom
V ... 70.2 Å³/f.u.
Symmetry ... P4/mmm, No. 123
Magnetization ... 4.98 Bohr magnetons per cell
Energy relative to the lowest polymorph listed for this composition ... 105 meV/atom

Lattice parameters (Å, degrees): 3.0882 4.7668 4.7668 90.00 90.00 90.00
Sites, in units of the cell vectors:
Np  0.5000  0.5000  0.5000
Nb  0.0000  0.0000  0.5000
Nb  0.0000  0.5000  0.0000
Mn  0.5000  0.0000  0.0000

---

NpMnNb2 | PBE | optimized geometry

VASP energy ... -10.328 eV/atom
V ... 70.3 Å³/f.u.
Symmetry ... P4/mmm, No. 123
Magnetization ... 3.42 Bohr magnetons per cell
Energy relative to the lowest polymorph listed for this composition ... 0 meV/atom

Lattice parameters (Å, degrees): 3.0418 3.0418 7.5960 90.00 90.00 90.00
Sites, in units of the cell vectors:
Np  0.5000  0.5000  0.5000
Nb  0.0000  0.0000  0.7964
Nb  0.0000  0.0000  0.2036
Mn  0.5000  0.5000  0.0000

---

Going through the records in order, we get formation energy values of -10.8, -5.3, -42.9, 131.4, 90.7 kJ/mol of formula units.